# 1
This record from Alexandria describes a relaxed structure of YFeCo2. The functional is GGA-PBEsol.

Cell lengths 3.927, 3.927, 5.190 Å; angles 67.77, 67.77, 60.00 degrees
Site moments in Bohr magnetons follow the coordinates.
Sites, in units of the cell vectors:
Fe (0.000, 0.000, 0.000)  1.84
Co (0.693, 0.693, 0.920)  0.96
Co (0.307, 0.307, 0.080)  0.96
Y (0.500, 0.500, 0.500)  -0.25

Calculated values
* energy of formation: -0.05 eV per atom
* energy above the lowest structure with this stoichiometry: 0 kJ/mol of formula units

---

# 2
This record from Alexandria describes a relaxed structure of YFeCo. The functional is GGA-PBEsol.

Cell lengths 3.800, 3.800, 4.017 Å; angles 90.00, 90.00, 120.00 degrees
Site moments in Bohr magnetons follow the coordinates.
Sites, in units of the cell vectors:
Co (0.000, 0.000, 0.000)  0.81
Y (0.667, 0.333, 0.500)  -0.23
Fe (0.333, 0.667, 0.000)  1.78

Calculated values
* energy of formation: -0.08 eV per atom

---

# 3
This record from Alexandria describes a relaxed structure of YFeCo2. The functional is GGA-PBEsol.

Cell lengths 3.107, 4.241, 5.051 Å; angles 114.82, 107.91, 90.00 degrees
Site moments in Bohr magnetons follow the coordinates.
Sites, in units of the cell vectors:
Co (0.752, 0.252, 0.505)  1.24
Co (0.018, 0.018, 0.036)  1.55
Y (0.251, 0.751, 0.501)  -0.28
Fe (0.479, 0.479, 0.958)  2.65

Calculated values
* energy of formation: 0.22 eV per atom
* energy above the lowest structure with this stoichiometry: 104 kJ/mol of formula units

---

# 4
This record from Alexandria describes a relaxed structure of ZnFeCo3. The functional is GGA-PBEsol.

Cell lengths 4.187, 4.187, 4.187 Å; angles 90.00, 90.00, 90.00 degrees
Site moments in Bohr magnetons follow the coordinates.
Sites, in units of the cell vectors:
Co (0.000, 0.500, 0.000)  1.52
Zn (0.000, 0.000, 0.000)  -0.08
Co (0.000, 0.000, 0.500)  1.52
Fe (0.500, 0.500, 0.500)  3.25
Co (0.500, 0.000, 0.000)  1.52

Calculated values
* energy of formation: 1.44 eV per atom
* energy above the lowest structure with this stoichiometry: 122 kJ/mol of formula units

---

# 5
This record from Alexandria describes a relaxed structure of ZnFeCo2. The functional is GGA-PBEsol.

Cell lengths 2.457, 2.457, 7.921 Å; angles 90.00, 90.00, 109.54 degrees
Site moments in Bohr magnetons follow the coordinates.
Sites, in units of the cell vectors:
Co (0.000, 0.000, 0.260)  1.56
Zn (0.500, 0.500, 0.000)  -0.04
Co (0.000, 0.000, 0.740)  1.56
Fe (0.500, 0.500, 0.500)  2.57

Calculated values
* energy of formation: 0.04 eV per atom

---

# 6
This record from Alexandria describes a relaxed structure of ZnFeCo2. The functional is GGA-PBEsol.

Cell lengths 2.797, 4.065, 4.648 Å; angles 115.93, 107.51, 90.00 degrees
Site moments in Bohr magnetons follow the coordinates.
Sites, in units of the cell vectors:
Zn (0.000, 0.500, 0.000)  -0.07
Co (0.759, 0.759, 0.519)  1.52
Fe (0.500, 0.000, 0.000)  2.47
Co (0.241, 0.241, 0.481)  1.52

Calculated values
* energy of formation: 0.05 eV per atom

---

# 7
This record from Alexandria describes a relaxed structure of ZnFeCo2. The functional is GGA-PBEsol.

Cell lengths 2.857, 3.938, 4.651 Å; angles 115.05, 107.89, 90.00 degrees
Site moments in Bohr magnetons follow the coordinates.
Sites, in units of the cell vectors:
Fe (0.491, 0.491, 0.982)  2.54
Zn (0.251, 0.751, 0.502)  -0.08
Co (0.751, 0.251, 0.503)  1.34
Co (0.007, 0.007, 0.014)  1.53

Calculated values
* energy of formation: 0.03 eV per atom

---

# 8
This record from Alexandria describes a relaxed structure of ZnFeCo2. The functional is GGA-PBEsol.

Cell lengths 2.523, 4.277, 4.373 Å; angles 100.43, 90.00, 107.16 degrees
Site moments in Bohr magnetons follow the coordinates.
Sites, in units of the cell vectors:
Co (0.255, 0.510, 0.258)  1.39
Fe (0.000, 0.000, 0.500)  2.37
Co (0.745, 0.490, 0.742)  1.39
Zn (0.500, 0.000, 0.000)  -0.05

Calculated values
* energy of formation: 0.03 eV per atom